Here is a geometry-optimized KBaHg2Cl structure from Alexandria via LeMat-Bulk. Energies are from PBE.

Output
formation energy from raw total energies	-0.62	eV per formula unit
M_tot	0.01	μB/f.u.
SG	P4/mmm

a b c (Å): 6.532 6.532 10.010
angles (deg): 90.00 90.00 90.00
Positions (direct):
1 K 0.000 0.000 0.000
2 Ba 0.000 0.000 0.500
3 Hg 0.000 0.500 0.500
4 Hg 0.500 0.000 0.500
5 Cl 0.500 0.500 0.000

---

Here is a geometry-optimized BaLi2HgCl6 structure from Alexandria via LeMat-Bulk. Energies are from PBE.

Output
formation energy from raw total energies	-16.13	eV per formula unit
M_tot	0.00	μB/f.u.
SG	C2/c

a b c (Å): 8.856 8.856 8.017
angles (deg): 109.55 109.55 77.10
Positions (direct):
1 Ba 0.167 0.833 0.750
2 Ba 0.833 0.167 0.250
3 Li 0.275 0.349 0.780
4 Li 0.349 0.275 0.280
5 Li 0.651 0.725 0.720
6 Li 0.725 0.651 0.220
7 Hg 0.236 0.764 0.250
8 Hg 0.764 0.236 0.750
9 Cl 0.056 0.182 0.662
10 Cl 0.128 0.594 0.947
11 Cl 0.182 0.056 0.162
12 Cl 0.260 0.462 0.535
13 Cl 0.406 0.872 0.553
14 Cl 0.462 0.260 0.035
15 Cl 0.538 0.740 0.965
16 Cl 0.594 0.128 0.447
17 Cl 0.740 0.538 0.465
18 Cl 0.818 0.944 0.838
19 Cl 0.872 0.406 0.053
20 Cl 0.944 0.818 0.338

---

Here is a geometry-optimized Ba2LiHgCl structure from Alexandria via LeMat-Bulk. Energies are from PBE.

Output
formation energy from raw total energies	-4.10	eV per formula unit
M_tot	0.00	μB/f.u.
SG	P4/mmm

a b c (Å): 6.245 6.245 4.552
angles (deg): 90.00 90.00 90.00
Positions (direct):
1 Ba 0.000 0.500 0.000
2 Ba 0.500 0.000 0.000
3 Li 0.000 0.000 0.500
4 Hg 0.500 0.500 0.500
5 Cl 0.000 0.000 0.000